A relaxed structure of AgSn3Hg, computed with PBE.

Values from the calculation:
DOS(E_F) = 3.09 states/eV/f.u.
Symmetry = Pm-3m (221)
Energy above the most stable polymorph in this dataset = 0.00 eV per formula unit
Total magnetization = 0.00 μB per formula unit
Formation energy = 0.391 eV/atom

Cell lengths 5.3914, 5.3914, 5.3914 Å; angles 90.00, 90.00, 90.00 degrees
Sites, in units of the cell vectors:
1 Sn 0.0000 0.0000 0.5000
2 Sn 0.5000 0.0000 0.0000
3 Sn 0.0000 0.5000 0.0000
4 Ag 0.0000 0.0000 0.0000
5 Hg 0.5000 0.5000 0.5000